1.
## LaMn4Cr (PBE)

Data for a geometry-optimized LaMn4Cr structure.

It has space group F-43m (No. 216), with a = 7.201 Å, b = 7.201 Å, c = 7.201 Å, α = 90.00°, β = 90.00° and γ = 90.00°. The asymmetric unit holds La at (0.000, 0.000, 0.000), Mn at (0.124, 0.124, 0.624) and Cr at (0.250, 0.250, 0.250).

As for the uncorrected energy: -8.166 eV per atom. For the formation energy, the calculation gives 2.23 eV per formula unit. As for the density of states at the Fermi level: 1.061 states/eV per atom.



2.
## La2ZrBr (PBE)

Data for a geometry-optimized La2ZrBr structure.

It has space group Cmm2 (No. 35), with a = 3.583 Å, b = 6.089 Å, c = 10.767 Å, α = 90.00°, β = 90.00° and γ = 90.00°. The asymmetric unit holds La at (0.000, 0.000, 0.000), La at (0.000, 0.500, 0.301), Zr at (0.000, 0.500, 0.755) and Br at (0.000, 0.000, 0.550).

As for the uncorrected energy: -5.249 eV per atom. The value obtained for the formation energy from raw total energies is -0.230 eV/atom. As for the density of states at the Fermi level: 1.222 states/eV per atom. The value obtained for the excess energy over the best structure of this formula in the dataset is 0.233 eV/atom.



3.
## Tb6Y2Er3Pu (PBE)

Data for a geometry-optimized Tb6Y2Er3Pu structure.

It has space group C2/m (No. 12), with a = 6.127 Å, b = 10.617 Å, c = 11.683 Å, α = 90.00°, β = 100.07° and γ = 90.00°. The asymmetric unit holds Tb at (0.246, 0.000, 0.250), Tb at (0.248, 0.165, 0.750), Y at (0.000, 0.333, 0.500), Er at (0.000, 0.167, 0.000), Er at (0.000, 0.500, 0.000) and Pu at (0.000, 0.000, 0.500).

As for the uncorrected energy: -5.681 eV per atom. For the formation energy, the calculation gives 0.56 eV per formula unit. As for the density of states at the Fermi level: 2.000 states/eV per atom.



4.
## LiNdMgSc (PBE)

Data for a geometry-optimized LiNdMgSc structure.

It has space group F-43m (No. 216), with a = 7.423 Å, b = 7.423 Å, c = 7.423 Å, α = 90.00°, β = 90.00° and γ = 90.00°. The asymmetric unit holds Li at (0.000, 0.000, 0.000), Nd at (0.250, 0.250, 0.750), Mg at (0.000, 0.000, 0.500) and Sc at (0.250, 0.250, 0.250).

As for the uncorrected energy: -3.590 eV per atom. For the formation energy, the calculation gives 0.25 eV per formula unit. As for the density of states at the Fermi level: 1.507 states/eV per atom.



5.
## Zr2CrW (PBE)

Data for a geometry-optimized Zr2CrW structure.

It has space group P4mm (No. 99), with a = 3.126 Å, b = 3.126 Å, c = 7.452 Å, α = 90.00°, β = 90.00° and γ = 90.00°. The asymmetric unit holds Zr at (0.000, 0.000, 0.000), Zr at (0.500, 0.500, 0.314), Cr at (0.000, 0.000, 0.557) and W at (0.500, 0.500, 0.733).

As for the uncorrected energy: -9.797 eV per atom. For the formation energy, the calculation gives 0.48 eV per formula unit. As for the density of states at the Fermi level: 1.151 states/eV per atom. The value obtained for the excess energy over the best structure of this formula in the dataset is 0.000 eV/atom.



6.
## Pm3Bi2Se (PBE)

Data for a geometry-optimized Pm3Bi2Se structure.

It has space group Fddd (No. 70, origin choice 2), with a = 8.917 Å, b = 12.622 Å, c = 26.731 Å, α = 90.00°, β = 90.00° and γ = 90.00°. The asymmetric unit holds Pm at (0.110, 0.375, 0.375), Pm at (0.119, 0.370, 0.211), Bi at (0.125, 0.125, 0.377), Bi at (0.125, 0.125, 0.544) and Se at (0.125, 0.125, 0.042).

As for the uncorrected energy: -5.473 eV per atom. The value obtained for the formation energy from raw total energies is -1.223 eV/atom. As for the density of states at the Fermi level: 0.284 states/eV per atom. The value obtained for the excess energy over the best structure of this formula in the dataset is 0.000 eV/atom.



7.
## In2CoAsPd (PBE)

Data for a geometry-optimized In2CoAsPd structure.

It has space group P4/mmm (No. 123), with a = 5.283 Å, b = 5.283 Å, c = 4.294 Å, α = 90.00°, β = 90.00° and γ = 90.00°. The asymmetric unit holds In at (0.000, 0.500, 0.000), Co at (0.000, 0.000, 0.500), As at (0.000, 0.000, 0.000) and Pd at (0.500, 0.500, 0.500).

As for the uncorrected energy: -3.884 eV per atom. For the formation energy, the calculation gives 3.01 eV per formula unit. As for the density of states at the Fermi level: 0.542 states/eV per atom.



8.
## MgAlAg6 (PBE)

Data for a geometry-optimized MgAlAg6 structure.

It has space group P4/mmm (No. 123), with a = 5.705 Å, b = 5.705 Å, c = 4.316 Å, α = 90.00°, β = 90.00° and γ = 90.00°. The asymmetric unit holds Mg at (0.000, 0.000, 0.000), Al at (0.500, 0.500, 0.000), Ag at (0.000, 0.500, 0.000) and Ag at (0.252, 0.252, 0.500).

As for the uncorrected energy: -2.900 eV per atom. For the formation energy, the calculation gives -0.76 eV per formula unit. As for the density of states at the Fermi level: 0.180 states/eV per atom. The value obtained for the excess energy over the best structure of this formula in the dataset is 0.000 eV/atom.



- What is the uncorrected energy in the sixth record?
  -5.473 eV per atom



- Which of these has the lowest density of states at the Fermi level?
  MgAlAg6



- The lowest density of states at the Fermi level belongs to which entry?
  MgAlAg6